{
  "formula": "Hf3Pb",
  "functional": "PBE-GGA",
  "state": "optimized geometry",
  "lattice": [[3.2193, 0.0000, 0.0000], [0.0000, 5.1752, 0.0000], [0.0000, 0.0000, 5.4624]],
  "species": ["Hf", "Hf", "Hf", "Pb"],
  "fractional_positions": [[0.0000, 0.0000, 0.0000], [0.0000, 0.5000, 0.3564], [0.5000, 0.0000, 0.4940], [0.5000, 0.5000, 0.8489]],
  "ef_kj_per_mol_atoms": 3.94,
  "energy_ev_per_atom": -8.35,
  "m_tot_mub_per_atom": 0.000,
  "space_group": "No. 25"
}